Entry from Alexandria via LeMat-Bulk: a relaxed structure of CaPtI2O (PBE-GGA).

```
data_CaPtI2O
_chemical_formula_sum 'Ca1 Pt1 I2 O1'
_symmetry_space_group_name_H-M 'P 4/m m m'
_symmetry_Int_Tables_number 123
_symmetry_space_group_name_Hall '-P 4 2'
_cell_length_a 6.0084
_cell_length_b 6.0084
_cell_length_c 4.0562
_cell_angle_alpha 90.00
_cell_angle_beta 90.00
_cell_angle_gamma 90.00
loop_
_atom_site_label
_atom_site_type_symbol
_atom_site_fract_x
_atom_site_fract_y
_atom_site_fract_z
_atom_site_occupancy
Ca1 Ca 0.0000 0.0000 0.0000 1
Pt1 Pt 0.5000 0.5000 0.5000 1
I1 I 0.0000 0.5000 0.0000 1
O1 O 0.0000 0.0000 0.5000 1
```

Energy relative to the elements, uncorrected (kJ/mol of formula units): 5
Energy above the most stable polymorph in this dataset (meV per atom): 584.4
Calculated total energy (eV for the cell shown): -16.05


Entry from Alexandria via LeMat-Bulk: a relaxed structure of LaSc2O2 (PBE-GGA).

```
data_LaSc2O2
_chemical_formula_sum 'La2 Sc4 O4'
_symmetry_space_group_name_H-M 'I 4/m m m'
_symmetry_Int_Tables_number 139
_symmetry_space_group_name_Hall '-I 4 2'
_cell_length_a 4.1433
_cell_length_b 4.1433
_cell_length_c 9.5239
_cell_angle_alpha 90.00
_cell_angle_beta 90.00
_cell_angle_gamma 90.00
loop_
_atom_site_label
_atom_site_type_symbol
_atom_site_fract_x
_atom_site_fract_y
_atom_site_fract_z
_atom_site_occupancy
La1 La 0.0000 0.0000 0.0000 1
Sc1 Sc 0.0000 0.0000 0.3359 1
O1 O 0.0000 0.5000 0.2500 1
```

Energy relative to the elements, uncorrected (kJ/mol of formula units): -919
Calculated total energy (eV for the cell shown): -74.06


Entry from Alexandria via LeMat-Bulk: a relaxed structure of Li2BrCl (PBE-GGA).

```
data_Li2BrCl
_chemical_formula_sum 'Li8 Br4 Cl4'
_symmetry_space_group_name_H-M 'F m -3 m'
_symmetry_Int_Tables_number 225
_symmetry_space_group_name_Hall '-F 4 2 3'
_cell_length_a 6.8032
_cell_length_b 6.8032
_cell_length_c 6.8032
_cell_angle_alpha 90.00
_cell_angle_beta 90.00
_cell_angle_gamma 90.00
loop_
_atom_site_label
_atom_site_type_symbol
_atom_site_fract_x
_atom_site_fract_y
_atom_site_fract_z
_atom_site_occupancy
Li1 Li 0.2500 0.2500 0.2500 1
Br1 Br 0.0000 0.0000 0.0000 1
Cl1 Cl 0.0000 0.0000 0.5000 1
```

Energy relative to the elements, uncorrected (kJ/mol of formula units): -533
Energy above the most stable polymorph in this dataset (meV per atom): 299.7
Calculated total energy (eV for the cell shown): -51.50